Density functional theory data (PBE) for a geometry-optimized SrTeIrN2 structure.

a b c (Å): 4.3031 4.3031 6.7219
angles (deg): 90.00 90.00 90.00
Sites, in units of the cell vectors:
Sr (0.0000, 0.0000, 0.0000)
Te (0.0000, 0.0000, 0.5000)
Ir (0.5000, 0.5000, 0.5000)
N (0.0000, 0.5000, 0.0000)
N (0.5000, 0.0000, 0.0000)

As for the space group: No. 123. The calculation puts the density of states at the Fermi level at 3.665 states/eV/f.u. For the volume, the calculation gives 24.89 A^3/atom. As for the excess energy over the best structure of this formula in the dataset: 1670 meV/atom. The uncorrected formation energy is 2.16 eV per atom.


Density functional theory data (PBE) for a geometry-optimized SrTe2IrN structure.

a b c (Å): 5.7421 5.7421 3.7380
angles (deg): 90.00 90.00 90.00
Sites, in units of the cell vectors:
Sr (0.0000, 0.0000, 0.0000)
Te (0.0000, 0.5000, 0.5000)
Te (0.5000, 0.0000, 0.5000)
Ir (0.5000, 0.5000, 0.5000)
N (0.5000, 0.5000, 0.0000)

As for the space group: No. 123. The calculation puts the density of states at the Fermi level at 3.063 states/eV/f.u. For the volume, the calculation gives 24.65 A^3/atom. As for the excess energy over the best structure of this formula in the dataset: 0 meV/atom. The uncorrected formation energy is -0.34 eV per atom.


Density functional theory data (PBE) for a geometry-optimized Sr2TeIrN structure.

a b c (Å): 5.6546 5.6546 3.8164
angles (deg): 90.00 90.00 90.00
Sites, in units of the cell vectors:
Sr (0.0000, 0.5000, 0.0000)
Sr (0.5000, 0.0000, 0.0000)
Te (0.0000, 0.0000, 0.5000)
Ir (0.5000, 0.5000, 0.5000)
N (0.5000, 0.5000, 0.0000)

As for the space group: No. 123. The calculation puts the density of states at the Fermi level at 3.048 states/eV/f.u. For the volume, the calculation gives 24.41 A^3/atom. As for the excess energy over the best structure of this formula in the dataset: 0 meV/atom. The uncorrected formation energy is -0.92 eV per atom.


Density functional theory data (PBE) for a geometry-optimized SrTeIrN2 structure.

a b c (Å): 4.0007 4.0007 7.0393
angles (deg): 90.00 90.00 90.00
Sites, in units of the cell vectors:
Sr (0.0000, 0.0000, 0.0000)
Te (0.5000, 0.5000, 0.0000)
Ir (0.0000, 0.0000, 0.5000)
N (0.0000, 0.5000, 0.5000)
N (0.5000, 0.0000, 0.5000)

As for the space group: No. 123. The calculation puts the density of states at the Fermi level at 3.347 states/eV/f.u. For the volume, the calculation gives 22.53 A^3/atom. As for the excess energy over the best structure of this formula in the dataset: 133 meV/atom. The uncorrected formation energy is 0.62 eV per atom.